(1)
Computed, not measured: an optimized crystal structure of Li3ZnGa8 at the PBE level of DFT.

Unit cell a=6.8800 b=6.8800 c=6.8800 alpha=115.81 beta=115.81 gamma=97.43
Element x y z (fractional)
Li  0.0000  0.0000  0.0000
Li  0.2500  0.7500  0.5000
Li  0.7500  0.2500  0.5000
Zn  0.5000  0.5000  0.0000
Ga  0.1053  0.3593  0.0000
Ga  0.2207  0.7270  0.0000
Ga  0.2730  0.2730  0.4937
Ga  0.3593  0.1053  0.0000
Ga  0.6407  0.6407  0.7460
Ga  0.7270  0.2207  0.0000
Ga  0.7793  0.7793  0.5063
Ga  0.8947  0.8947  0.2540

Values from the calculation:
As for the space group: I-42m, No. 121. The value obtained for the density of states at the Fermi level is 4.3 states/eV per cell. The density comes out at 4.4 g/cm3. The value obtained for the formation energy is 0.049 eV/atom.



(2)
Computed, not measured: an optimized crystal structure of LaTa2Tl at the PBE level of DFT.

Unit cell a=5.5515 b=5.5515 c=5.6916 alpha=102.81 beta=102.81 gamma=33.02
Element x y z (fractional)
La  0.0000  0.0000  0.0000
Ta  0.2391  0.2391  0.7066
Ta  0.7609  0.7609  0.2934
Tl  0.5000  0.5000  0.5000

Values from the calculation:
As for the space group: C2/m, No. 12. The value obtained for the density of states at the Fermi level is 2.9 states/eV per cell. The density comes out at 12.6 g/cm3. The value obtained for the formation energy is 0.503 eV/atom.



Number 1 is which compound? Li3ZnGa8